No. 1
# ZrV3Si, relaxed, DFT GGA-PBE
data_ZrV3Si
_symmetry_space_group_name_H-M 'P 1'
_symmetry_Int_Tables_number 1
_cell_length_a 4.448
_cell_length_b 4.448
_cell_length_c 4.448
_cell_angle_alpha 90.00
_cell_angle_beta 90.00
_cell_angle_gamma 90.00
loop_
_symmetry_equiv_pos_as_xyz
'x,y,z'
loop_
_atom_site_label
_atom_site_type_symbol
_atom_site_fract_x
_atom_site_fract_y
_atom_site_fract_z
Zr1 Zr 0.000 0.000 0.000
V1 V 0.000 0.500 0.500
V2 V 0.500 0.000 0.500
V3 V 0.500 0.500 0.000
Si1 Si 0.500 0.500 0.500
# SG = Pm-3m
# Raw formation energy = 0.46 eV/atom
# Excess energy over the best structure of this formula in the dataset = 0.000 eV per atom

***

No. 2
# ZrVSi, relaxed, DFT GGA-PBE
data_ZrVSi
_symmetry_space_group_name_H-M 'P 1'
_symmetry_Int_Tables_number 1
_cell_length_a 3.689
_cell_length_b 3.689
_cell_length_c 7.248
_cell_angle_alpha 90.00
_cell_angle_beta 90.00
_cell_angle_gamma 90.00
loop_
_symmetry_equiv_pos_as_xyz
'x,y,z'
loop_
_atom_site_label
_atom_site_type_symbol
_atom_site_fract_x
_atom_site_fract_y
_atom_site_fract_z
Zr1 Zr 0.250 0.250 0.141
Zr2 Zr 0.750 0.750 0.859
V1 V 0.250 0.750 0.500
V2 V 0.750 0.250 0.500
Si1 Si 0.250 0.250 0.745
Si2 Si 0.750 0.750 0.255
# SG = P4/nmm
# Raw formation energy = -0.76 eV/atom

***

No. 3
# ZrV2Si2, relaxed, DFT GGA-PBE
data_ZrV2Si2
_symmetry_space_group_name_H-M 'P 1'
_symmetry_Int_Tables_number 1
_cell_length_a 6.793
_cell_length_b 6.793
_cell_length_c 3.255
_cell_angle_alpha 90.00
_cell_angle_beta 90.00
_cell_angle_gamma 90.00
loop_
_symmetry_equiv_pos_as_xyz
'x,y,z'
loop_
_atom_site_label
_atom_site_type_symbol
_atom_site_fract_x
_atom_site_fract_y
_atom_site_fract_z
Zr1 Zr 0.000 0.000 0.000
Zr2 Zr 0.500 0.500 0.000
V1 V 0.168 0.332 0.500
V2 V 0.332 0.832 0.500
V3 V 0.668 0.168 0.500
V4 V 0.832 0.668 0.500
Si1 Si 0.125 0.625 0.000
Si2 Si 0.375 0.125 0.000
Si3 Si 0.625 0.875 0.000
Si4 Si 0.875 0.375 0.000
# SG = P4/mbm
# Raw formation energy = -0.53 eV/atom
# Excess energy over the best structure of this formula in the dataset = 0.093 eV per atom

***

No. 4
# ZrV3Si, relaxed, DFT GGA-PBE
data_ZrV3Si
_symmetry_space_group_name_H-M 'P 1'
_symmetry_Int_Tables_number 1
_cell_length_a 4.600
_cell_length_b 4.600
_cell_length_c 4.600
_cell_angle_alpha 90.00
_cell_angle_beta 90.00
_cell_angle_gamma 90.00
loop_
_symmetry_equiv_pos_as_xyz
'x,y,z'
loop_
_atom_site_label
_atom_site_type_symbol
_atom_site_fract_x
_atom_site_fract_y
_atom_site_fract_z
Zr1 Zr 0.000 0.000 0.000
V1 V 0.000 0.000 0.500
V2 V 0.000 0.500 0.000
V3 V 0.500 0.000 0.000
Si1 Si 0.500 0.500 0.500
# SG = Pm-3m
# Raw formation energy = 1.75 eV/atom
# Excess energy over the best structure of this formula in the dataset = 1.289 eV per atom

***

No. 5
# Zr2VSi2, relaxed, DFT GGA-PBE
data_Zr2VSi2
_symmetry_space_group_name_H-M 'P 1'
_symmetry_Int_Tables_number 1
_cell_length_a 6.690
_cell_length_b 6.690
_cell_length_c 3.816
_cell_angle_alpha 90.00
_cell_angle_beta 90.00
_cell_angle_gamma 90.00
loop_
_symmetry_equiv_pos_as_xyz
'x,y,z'
loop_
_atom_site_label
_atom_site_type_symbol
_atom_site_fract_x
_atom_site_fract_y
_atom_site_fract_z
Zr1 Zr 0.175 0.325 0.000
Zr2 Zr 0.325 0.825 0.000
Zr3 Zr 0.675 0.175 0.000
Zr4 Zr 0.825 0.675 0.000
V1 V 0.000 0.000 0.500
V2 V 0.500 0.500 0.500
Si1 Si 0.128 0.628 0.500
Si2 Si 0.372 0.128 0.500
Si3 Si 0.628 0.872 0.500
Si4 Si 0.872 0.372 0.500
# SG = P4/mbm
# Raw formation energy = -0.76 eV/atom

***

No. 6
# ZrVSi, relaxed, DFT GGA-PBE
data_ZrVSi
_symmetry_space_group_name_H-M 'P 1'
_symmetry_Int_Tables_number 1
_cell_length_a 8.845
_cell_length_b 4.204
_cell_length_c 5.397
_cell_angle_alpha 90.00
_cell_angle_beta 99.07
_cell_angle_gamma 90.00
loop_
_symmetry_equiv_pos_as_xyz
'x,y,z'
loop_
_atom_site_label
_atom_site_type_symbol
_atom_site_fract_x
_atom_site_fract_y
_atom_site_fract_z
Zr1 Zr 0.000 0.000 0.000
Zr2 Zr 0.219 0.500 0.303
Zr3 Zr 0.500 0.500 0.000
Zr4 Zr 0.719 0.000 0.303
V1 V 0.045 0.000 0.524
V2 V 0.314 0.000 0.760
V3 V 0.545 0.500 0.524
V4 V 0.814 0.500 0.760
Si1 Si 0.147 0.500 0.774
Si2 Si 0.411 0.000 0.318
Si3 Si 0.647 0.000 0.774
Si4 Si 0.911 0.500 0.318
# SG = Cm
# Raw formation energy = -0.43 eV/atom

***

No. 7
# ZrV2Si, relaxed, DFT GGA-PBE
data_ZrV2Si
_symmetry_space_group_name_H-M 'P 1'
_symmetry_Int_Tables_number 1
_cell_length_a 7.231
_cell_length_b 7.231
_cell_length_c 5.191
_cell_angle_alpha 90.00
_cell_angle_beta 90.00
_cell_angle_gamma 90.00
loop_
_symmetry_equiv_pos_as_xyz
'x,y,z'
loop_
_atom_site_label
_atom_site_type_symbol
_atom_site_fract_x
_atom_site_fract_y
_atom_site_fract_z
Zr1 Zr 0.000 0.000 0.000
Zr2 Zr 0.000 0.500 0.250
Zr3 Zr 0.500 0.000 0.750
Zr4 Zr 0.500 0.500 0.500
V1 V 0.204 0.750 0.625
V2 V 0.250 0.204 0.375
V3 V 0.250 0.296 0.875
V4 V 0.296 0.750 0.125
V5 V 0.704 0.250 0.125
V6 V 0.750 0.704 0.875
V7 V 0.750 0.796 0.375
V8 V 0.796 0.250 0.625
Si1 Si 0.000 0.000 0.500
Si2 Si 0.000 0.500 0.750
Si3 Si 0.500 0.000 0.250
Si4 Si 0.500 0.500 0.000
# SG = I-42d
# Raw formation energy = 0.24 eV/atom

***

No. 8
# Zr2VSi, relaxed, DFT GGA-PBE
data_Zr2VSi
_symmetry_space_group_name_H-M 'P 1'
_symmetry_Int_Tables_number 1
_cell_length_a 7.461
_cell_length_b 7.461
_cell_length_c 5.555
_cell_angle_alpha 90.00
_cell_angle_beta 90.00
_cell_angle_gamma 90.00
loop_
_symmetry_equiv_pos_as_xyz
'x,y,z'
loop_
_atom_site_label
_atom_site_type_symbol
_atom_site_fract_x
_atom_site_fract_y
_atom_site_fract_z
Zr1 Zr 0.240 0.750 0.125
Zr2 Zr 0.250 0.240 0.875
Zr3 Zr 0.250 0.260 0.375
Zr4 Zr 0.260 0.750 0.625
Zr5 Zr 0.740 0.250 0.625
Zr6 Zr 0.750 0.740 0.375
Zr7 Zr 0.750 0.760 0.875
Zr8 Zr 0.760 0.250 0.125
V1 V 0.000 0.000 0.500
V2 V 0.000 0.500 0.750
V3 V 0.500 0.000 0.250
V4 V 0.500 0.500 0.000
Si1 Si 0.000 0.000 0.000
Si2 Si 0.000 0.500 0.250
Si3 Si 0.500 0.000 0.750
Si4 Si 0.500 0.500 0.500
# SG = I-42d
# Raw formation energy = 0.24 eV/atom

***

No. 9
# ZrVSi, relaxed, DFT GGA-PBE
data_ZrVSi
_symmetry_space_group_name_H-M 'P 1'
_symmetry_Int_Tables_number 1
_cell_length_a 3.522
_cell_length_b 5.396
_cell_length_c 10.562
_cell_angle_alpha 90.00
_cell_angle_beta 90.00
_cell_angle_gamma 90.00
loop_
_symmetry_equiv_pos_as_xyz
'x,y,z'
loop_
_atom_site_label
_atom_site_type_symbol
_atom_site_fract_x
_atom_site_fract_y
_atom_site_fract_z
Zr1 Zr 0.000 0.000 0.189
Zr2 Zr 0.000 0.000 0.811
Zr3 Zr 0.500 0.500 0.311
Zr4 Zr 0.500 0.500 0.689
V1 V 0.000 0.256 0.500
V2 V 0.000 0.744 0.500
V3 V 0.500 0.244 0.000
V4 V 0.500 0.756 0.000
Si1 Si 0.000 0.500 0.115
Si2 Si 0.000 0.500 0.885
Si3 Si 0.500 0.000 0.385
Si4 Si 0.500 0.000 0.615
# SG = Immm
# Raw formation energy = -0.53 eV/atom

***

No. 10
# ZrVSi, relaxed, DFT GGA-PBE
data_ZrVSi
_symmetry_space_group_name_H-M 'P 1'
_symmetry_Int_Tables_number 1
_cell_length_a 5.287
_cell_length_b 13.657
_cell_length_c 2.791
_cell_angle_alpha 90.00
_cell_angle_beta 104.66
_cell_angle_gamma 90.00
loop_
_symmetry_equiv_pos_as_xyz
'x,y,z'
loop_
_atom_site_label
_atom_site_type_symbol
_atom_site_fract_x
_atom_site_fract_y
_atom_site_fract_z
Zr1 Zr 0.000 0.181 0.000
Zr2 Zr 0.000 0.819 0.000
Zr3 Zr 0.500 0.319 0.000
Zr4 Zr 0.500 0.681 0.000
V1 V 0.235 0.000 0.768
V2 V 0.265 0.500 0.232
V3 V 0.735 0.500 0.768
V4 V 0.765 0.000 0.232
Si1 Si 0.000 0.367 0.500
Si2 Si 0.000 0.633 0.500
Si3 Si 0.500 0.133 0.500
Si4 Si 0.500 0.867 0.500
# SG = C2/m
# Raw formation energy = -0.39 eV/atom

***

No. 11
# Si2W, relaxed, DFT GGA-PBE
data_Si2W
_symmetry_space_group_name_H-M 'P 1'
_symmetry_Int_Tables_number 1
_cell_length_a 2.722
_cell_length_b 2.722
_cell_length_c 11.876
_cell_angle_alpha 90.00
_cell_angle_beta 90.00
_cell_angle_gamma 90.00
loop_
_symmetry_equiv_pos_as_xyz
'x,y,z'
loop_
_atom_site_label
_atom_site_type_symbol
_atom_site_fract_x
_atom_site_fract_y
_atom_site_fract_z
Si1 Si 0.000 0.000 0.164
Si2 Si 0.000 0.000 0.836
Si3 Si 0.500 0.500 0.336
Si4 Si 0.500 0.500 0.664
W1 W 0.000 0.000 0.500
W2 W 0.500 0.500 0.000
# SG = I4/mmm
# Raw formation energy = 0.39 eV/atom
# Excess energy over the best structure of this formula in the dataset = 0.738 eV per atom

***

No. 12
# SiW, relaxed, DFT GGA-PBE
data_SiW
_symmetry_space_group_name_H-M 'P 1'
_symmetry_Int_Tables_number 1
_cell_length_a 2.832
_cell_length_b 2.832
_cell_length_c 8.744
_cell_angle_alpha 90.00
_cell_angle_beta 90.00
_cell_angle_gamma 120.00
loop_
_symmetry_equiv_pos_as_xyz
'x,y,z'
loop_
_atom_site_label
_atom_site_type_symbol
_atom_site_fract_x
_atom_site_fract_y
_atom_site_fract_z
Si1 Si 0.333 0.667 0.123
Si2 Si 0.667 0.333 0.877
W1 W 0.333 0.667 0.636
W2 W 0.667 0.333 0.364
# SG = P-3m1
# Raw formation energy = 0.40 eV/atom